Cd2PtW | PBE | relaxed

Calculated values
* raw total energy: -73.65 eV/cell
* V: 288 Å³ per cell
* energy relative to the lowest polymorph listed for this composition: 0.558 eV per atom
* formation energy from the elements: 58.2 kJ per mole of atoms
* density: 13.9 g/cm³
* Fermi-level density of states: 0.47 states/eV per atom

abc: 6.6050 6.6050 6.6050
angles: 90.00 90.00 90.00
Space group Fm-3m (No. 225)
Asymmetric unit:
Cd 0.2500 0.2500 0.2500 (multiplicity 8)
Pt 0.0000 0.0000 0.0000 (multiplicity 4)
W 0.0000 0.0000 0.5000 (multiplicity 4)

---

PrH6Ru2 | PBE | relaxed

Calculated values
* raw total energy: -89.22 eV/cell
* V: 172 Å³ per cell
* density: 6.7 g/cm³
* Fermi-level density of states: 0.45 states/eV per atom

abc: 5.7673 6.1951 5.0969
angles: 90.00 108.85 90.00
Space group C2/m (No. 12)
Asymmetric unit:
Pr 0.0000 0.0000 0.0000 (multiplicity 2)
H 0.0762 0.5000 0.6877 (multiplicity 4)
H 0.1979 0.3066 0.2892 (multiplicity 8)
Ru 0.0000 0.2548 0.5000 (multiplicity 4)

---

BaBeCo | PBE | relaxed

Calculated values
* raw total energy: -22.70 eV/cell
* V: 114 Å³ per cell
* energy relative to the lowest polymorph listed for this composition: 0.035 eV per atom
* formation energy from the elements: 45.1 kJ per mole of atoms
* density: 6.0 g/cm³
* Fermi-level density of states: 0.64 states/eV per atom

abc: 3.2196 3.2196 10.9528
angles: 90.00 90.00 90.00
Space group I4mm (No. 107)
Asymmetric unit:
Ba 0.0000 0.0000 0.0000 (multiplicity 2)
Be 0.0000 0.0000 0.7315 (multiplicity 2)
Co 0.0000 0.0000 0.2583 (multiplicity 2)

---

TiNi2Sn2 | PBE | relaxed

Calculated values
* raw total energy: -55.46 eV/cell
* V: 168 Å³ per cell
* energy relative to the lowest polymorph listed for this composition: 0.100 eV per atom
* formation energy from the elements: -5.2 kJ per mole of atoms
* density: 8.0 g/cm³
* Fermi-level density of states: 0.90 states/eV per atom

abc: 7.5097 7.5097 2.9710
angles: 90.00 90.00 90.00
Space group P4/mbm (No. 127)
Asymmetric unit:
Ti 0.0000 0.0000 0.0000 (multiplicity 2)
Ni 0.1447 0.3553 0.5000 (multiplicity 4)
Sn 0.1524 0.6524 0.0000 (multiplicity 4)

---

V2GaMo6 | PBE | relaxed

Calculated values
* raw total energy: -83.92 eV/cell
* V: 147 Å³ per cell
* formation energy from the elements: 25.0 kJ per mole of atoms
* density: 8.4 g/cm³
* Fermi-level density of states: 0.95 states/eV per atom

abc: 4.4625 5.3941 6.5450
angles: 83.36 70.15 89.96
Space group P-1 (No. 2)
Asymmetric unit:
V 0.0980 0.4675 0.3051 (multiplicity 2)
Ga 0.0000 0.0000 0.5000 (multiplicity 1)
Mo 0.2949 0.3432 0.9100 (multiplicity 2)
Mo 0.3006 0.8536 0.8978 (multiplicity 2)
Mo 0.5003 0.2594 0.4986 (multiplicity 2)

---

Tb4PRhS2 | PBE | relaxed

Calculated values
* raw total energy: -51.93 eV/cell
* V: 182 Å³ per cell
* formation energy without anion corrections: -1549.3 meV per atom
* density: 7.6 g/cm³
* Fermi-level density of states: 0.74 states/eV per atom

abc: 6.9546 3.9516 6.9898
angles: 90.00 108.65 90.00
Space group P2/m (No. 10)
Asymmetric unit:
Tb 0.2461 0.0000 0.2420 (multiplicity 2)
Tb 0.2496 0.5000 0.7598 (multiplicity 2)
P 0.5000 0.0000 0.0000 (multiplicity 1)
Rh 0.0000 0.5000 0.0000 (multiplicity 1)
S 0.0000 0.0000 0.5000 (multiplicity 1)
S 0.5000 0.5000 0.5000 (multiplicity 1)

---

LaHo2Tl2Cd2 | PBE | relaxed

Calculated values
* raw total energy: -66.20 eV/cell
* V: 588 Å³ per cell
* formation energy from the elements: -19.6 kJ per mole of atoms
* density: 9.3 g/cm³
* Fermi-level density of states: 0.67 states/eV per atom

abc: 5.0550 5.0550 26.5829
angles: 90.00 90.00 120.00
Space group R-3m (No. 166, hexagonal axes)
Asymmetric unit:
La 0.0000 0.0000 0.0000 (multiplicity 3)
Ho 0.0000 0.0000 0.1351 (multiplicity 6)
Tl 0.0000 0.0000 0.2660 (multiplicity 6)
Cd 0.0000 0.0000 0.4355 (multiplicity 6)

---

CsTl2ZnAu | PBE | relaxed

Calculated values
* raw total energy: -9.96 eV/cell
* V: 164 Å³ per cell
* formation energy from the elements: 3.4 kJ per mole of atoms
* density: 8.2 g/cm³
* Fermi-level density of states: 0.50 states/eV per atom

abc: 5.5611 5.5611 5.2906
angles: 90.00 90.00 90.00
Space group P4/mmm (No. 123)
Asymmetric unit:
Cs 0.0000 0.0000 0.0000 (multiplicity 1)
Tl 0.0000 0.5000 0.5000 (multiplicity 2)
Zn 0.5000 0.5000 0.5000 (multiplicity 1)
Au 0.5000 0.5000 0.0000 (multiplicity 1)

---

SrLa3Se | PBE | relaxed

Calculated values
* raw total energy: -16.25 eV/cell
* V: 195 Å³ per cell
* energy relative to the lowest polymorph listed for this composition: 1.342 eV per atom
* formation energy without anion corrections: 739.5 meV per atom
* density: 5.0 g/cm³
* Fermi-level density of states: 1.70 states/eV per atom

abc: 5.7994 5.7994 5.7994
angles: 90.00 90.00 90.00
Space group Pm-3m (No. 221)
Asymmetric unit:
Sr 0.0000 0.0000 0.0000 (multiplicity 1)
La 0.0000 0.0000 0.5000 (multiplicity 3)
Se 0.5000 0.5000 0.5000 (multiplicity 1)

---

ZnPtRh2 | PBE | relaxed

Calculated values
* raw total energy: -67.92 eV/cell
* V: 174 Å³ per cell
* formation energy from the elements: -15.0 kJ per mole of atoms
* density: 13.3 g/cm³
* Fermi-level density of states: 1.17 states/eV per atom

abc: 2.7634 2.7634 26.3231
angles: 90.00 90.00 120.00
Space group R3m (No. 160, hexagonal axes)
Asymmetric unit:
Zn 0.0000 0.0000 0.0000 (multiplicity 3)
Pt 0.0000 0.0000 0.7493 (multiplicity 3)
Rh 0.0000 0.0000 0.2530 (multiplicity 3)
Rh 0.0000 0.0000 0.5042 (multiplicity 3)

---

ThGa2Pt8 | PBE | relaxed

Calculated values
* raw total energy: -65.76 eV/cell
* V: 230 Å³ per cell
* formation energy from the elements: -34.7 kJ per mole of atoms
* density: 14.0 g/cm³
* Fermi-level density of states: 0.58 states/eV per atom

abc: 5.4313 5.4313 7.7940
angles: 90.00 90.00 90.00
Space group P4/mmm (No. 123)
Asymmetric unit:
Th 0.0000 0.0000 0.0000 (multiplicity 1)
Ga 0.0000 0.5000 0.5000 (multiplicity 2)
Pt 0.2549 0.2549 0.2767 (multiplicity 8)

---

ZrScIn | PBE | relaxed

Calculated values
* raw total energy: -36.55 eV/cell
* V: 136 Å³ per cell
* energy relative to the lowest polymorph listed for this composition: 0.085 eV per atom
* formation energy from the elements: -21.1 kJ per mole of atoms
* density: 6.1 g/cm³
* Fermi-level density of states: 1.51 states/eV per atom

abc: 3.2828 4.1781 9.9472
angles: 90.00 90.00 90.00
Space group Imm2 (No. 44)
Asymmetric unit:
Zr 0.0000 0.0000 0.0000 (multiplicity 2)
Sc 0.0000 0.0000 0.3271 (multiplicity 2)
In 0.0000 0.0000 0.6663 (multiplicity 2)